The following is a DFT calculation (PBE) of PrZrAl2 after structural relaxation. Values from VASP.

Total magnetization ... 0.0 μB/f.u.
Space group ... R-3m, No. 166
Formation energy ... -60 meV/atom
E ... -5.263 eV/atom

```
&SYSTEM
  ibrav = 0, nat = 4, ntyp = 3
/
ATOMIC_SPECIES
Al 26.98 Al.upf
Zr 91.22 Zr.upf
Pr 140.91 Pr.upf
CELL_PARAMETERS angstrom
3.548 0.000 0.000
1.774 3.072 0.000
1.774 1.024 8.909
ATOMIC_POSITIONS angstrom
Al 5.322 3.072 6.873
Al 1.774 1.024 2.035
Zr 0.000 0.000 0.000
Pr 3.548 2.048 4.454
```